No. 1
The following is a DFT calculation (PBE) of a relaxed structure of TaPPd2W.

Computed properties:
- Crystal system: tetragonal
- Total energy: -7.6912 eV per atom
- ΔE_f: 2.1 eV/f.u.
- Space-group type: P4/mmm

Geometry as POSCAR:
```
TaPPd2W
1.0
-1.762 -2.815 2.869
3.552 -2.791 -0.557
2.103 2.023 3.277
Pd Ta P W
2 1 1 1
Direct
0.000 0.000 0.500
0.500 0.000 0.000
0.500 0.500 0.500
0.000 0.000 0.000
0.000 0.500 0.000
```

No. 2
The following is a DFT calculation (PBE) of a relaxed structure of Y2TaPPd.

Computed properties:
- Crystal system: tetragonal
- Total energy: -6.9710 eV per atom
- ΔE_f: 0.5 eV/f.u.
- Space-group type: P4/mmm

Geometry as POSCAR:
```
Y2TaPPd
1.0
-3.829 0.134 -3.609
-1.858 -4.584 1.801
-2.608 2.176 2.848
P Y Ta Pd
1 2 1 1
Direct
0.000 0.000 0.000
0.500 0.000 0.000
0.000 0.500 0.000
0.500 0.500 0.500
0.000 0.000 0.500
```

No. 3
The following is a DFT calculation (PBE) of a relaxed structure of TbPPd4.

Computed properties:
- Crystal system: orthorhombic
- Total energy: -5.8353 eV per atom
- ΔE_f: -4.2 eV/f.u.
- Space-group type: Pmma

Geometry as POSCAR:
```
TbPPd4
1.0
3.976 0.000 0.000
0.000 6.873 0.000
0.000 0.000 7.494
Pd P Tb
8 2 2
Direct
0.500 0.929 0.750
0.000 0.000 0.500
0.500 0.303 0.562
0.000 0.000 0.000
0.500 0.697 0.062
0.500 0.071 0.250
0.500 0.697 0.438
0.500 0.303 0.938
0.000 0.785 0.250
0.000 0.215 0.750
0.000 0.625 0.750
0.000 0.375 0.250
```

No. 4
The following is a DFT calculation (PBE) of a relaxed structure of TbP2Pd4.

Computed properties:
- Crystal system: tetragonal
- Total energy: -5.9862 eV per atom
- ΔE_f: -5.7 eV/f.u.
- Space-group type: P4_2/mnm

Geometry as POSCAR:
```
TbP2Pd4
1.0
3.826 0.000 0.000
0.000 7.714 0.000
0.000 0.000 7.714
Pd P Tb
8 4 2
Direct
0.500 0.823 0.425
0.000 0.925 0.677
0.500 0.425 0.823
0.500 0.575 0.177
0.500 0.177 0.575
0.000 0.323 0.075
0.000 0.677 0.925
0.000 0.075 0.323
0.000 0.224 0.776
0.500 0.724 0.724
0.500 0.276 0.276
0.000 0.776 0.224
0.500 0.000 0.000
0.000 0.500 0.500
```

No. 5
The following is a DFT calculation (PBE) of a relaxed structure of Tb2PPd3.

Computed properties:
- Crystal system: orthorhombic
- Total energy: -6.0039 eV per atom
- ΔE_f: -5.8 eV/f.u.
- Space-group type: Fmmm

Geometry as POSCAR:
```
Tb2PPd3
1.0
5.630 0.602 0.000
0.254 5.656 0.000
-2.942 -3.129 7.575
Pd Tb P
6 4 2
Direct
0.176 0.176 0.825
0.649 0.649 0.825
0.822 0.822 0.643
0.178 0.178 0.357
0.351 0.351 0.175
0.824 0.824 0.175
0.755 0.245 0.000
0.250 0.750 0.500
0.245 0.755 0.000
0.750 0.250 0.500
0.334 0.334 0.669
0.666 0.666 0.331
```

No. 6
The following is a DFT calculation (PBE) of a relaxed structure of TbP4Pd6.

Computed properties:
- Crystal system: hexagonal
- Total energy: -5.8382 eV per atom
- ΔE_f: -6.8 eV/f.u.
- Space-group type: P-6m2

Geometry as POSCAR:
```
TbP4Pd6
1.0
3.882 0.000 0.000
0.000 7.176 0.000
0.000 -3.588 6.215
Pd P Tb
6 4 1
Direct
0.500 0.195 0.390
0.000 0.535 0.465
0.000 0.535 0.069
0.500 0.610 0.805
0.000 0.931 0.465
0.500 0.195 0.805
0.000 0.333 0.667
0.500 0.814 0.186
0.500 0.814 0.629
0.500 0.371 0.186
0.000 0.000 0.000
```

No. 7
The following is a DFT calculation (PBE) of a relaxed structure of Tb2P3Pd6.

Computed properties:
- Crystal system: hexagonal
- Total energy: -6.0423 eV per atom
- ΔE_f: -9.8 eV/f.u.
- Space-group type: P-62m

Geometry as POSCAR:
```
Tb2P3Pd6
1.0
4.153 0.000 0.000
0.000 6.314 -3.645
0.000 0.000 7.291
Pd P Tb
6 3 2
Direct
0.500 0.689 0.689
0.000 0.000 0.784
0.500 0.311 0.000
0.500 0.000 0.311
0.000 0.784 0.000
0.000 0.216 0.216
0.500 0.632 0.000
0.500 0.368 0.368
0.500 0.000 0.632
0.000 0.667 0.333
0.000 0.333 0.667
```

No. 8
The following is a DFT calculation (PBE) of a relaxed structure of TbP2Pd3.

Computed properties:
- Crystal system: monoclinic
- Total energy: -6.0519 eV per atom
- ΔE_f: -5.3 eV/f.u.
- Space-group type: C2/m

Geometry as POSCAR:
```
TbP2Pd3
1.0
-0.457 -2.201 -3.236
-3.613 -4.531 5.990
-6.778 6.353 -3.365
P Pd Tb
6 9 3
Direct
0.538 0.076 0.793
0.634 0.267 0.451
0.366 0.733 0.549
0.462 0.924 0.207
0.201 0.403 0.134
0.799 0.597 0.866
0.371 0.742 0.795
0.629 0.258 0.205
0.956 0.912 0.671
0.229 0.458 0.390
0.321 0.642 0.037
0.500 0.000 0.500
0.044 0.088 0.329
0.679 0.358 0.963
0.771 0.542 0.610
0.000 0.000 0.000
0.851 0.702 0.301
0.149 0.298 0.699
```

No. 9
The following is a DFT calculation (PBE) of a relaxed structure of TbP2Pd6.

Computed properties:
- Crystal system: tetragonal
- Total energy: -5.8135 eV per atom
- ΔE_f: -5.7 eV/f.u.
- Space-group type: P4/mmm

Geometry as POSCAR:
```
TbP2Pd6
1.0
-3.100 -0.593 -2.590
2.380 -2.389 -2.303
-2.498 -6.892 4.567
P Tb Pd
2 1 6
Direct
0.500 0.500 0.873
0.500 0.500 0.127
0.000 0.000 0.000
0.000 0.500 0.730
0.000 0.500 0.270
0.500 0.000 0.270
0.000 0.000 0.500
0.500 0.000 0.730
0.500 0.500 0.500
```

No. 10
The following is a DFT calculation (PBE) of a relaxed structure of TbP3Pd3.

Computed properties:
- Crystal system: cubic
- Total energy: -5.5840 eV per atom
- ΔE_f: -2.6 eV/f.u.
- Space-group type: Pm-3n

Geometry as POSCAR:
```
TbP3Pd3
1.0
6.531 0.000 0.000
0.000 6.531 0.000
0.000 0.000 6.531
P Tb Pd
6 2 6
Direct
0.000 0.500 0.250
0.500 0.750 0.000
0.250 0.000 0.500
0.000 0.500 0.750
0.500 0.250 0.000
0.750 0.000 0.500
0.000 0.000 0.000
0.500 0.500 0.500
0.500 0.000 0.250
0.500 0.000 0.750
0.250 0.500 0.000
0.000 0.750 0.500
0.000 0.250 0.500
0.750 0.500 0.000
```

No. 11
The following is a DFT calculation (PBE) of a relaxed structure of TbPPd6.

Computed properties:
- Crystal system: trigonal
- Total energy: -5.6101 eV per atom
- ΔE_f: -3.7 eV/f.u.
- Space-group type: R-3m

Geometry as POSCAR:
```
TbPPd6
1.0
5.617 0.000 0.000
2.808 4.864 0.000
2.808 1.621 5.601
Pd Tb P
6 1 1
Direct
0.914 0.914 0.739
0.566 0.086 0.261
0.086 0.566 0.261
0.086 0.086 0.261
0.914 0.434 0.739
0.434 0.914 0.739
0.500 0.500 0.500
0.000 0.000 0.000
```

No. 12
The following is a DFT calculation (PBE) of a relaxed structure of Tb2P3Pd3.

Computed properties:
- Crystal system: hexagonal
- Total energy: -6.1193 eV per atom
- ΔE_f: -7.9 eV/f.u.
- Space-group type: P6_3/mcm

Geometry as POSCAR:
```
Tb2P3Pd3
1.0
-2.637 -6.506 -3.780
-4.177 -1.365 5.263
-6.368 2.540 0.070
P Pd Tb
6 6 4
Direct
0.250 0.385 0.615
0.750 0.615 0.385
0.750 0.385 0.000
0.250 0.000 0.385
0.750 0.000 0.615
0.250 0.615 0.000
0.750 0.267 0.733
0.250 0.267 0.000
0.250 0.000 0.733
0.250 0.733 0.267
0.750 0.733 0.000
0.750 0.000 0.267
0.000 0.667 0.667
0.500 0.667 0.667
0.500 0.333 0.333
0.000 0.333 0.333
```